No. 1
Density functional theory data (GGA-PBE) for Tc2AgCl after structural relaxation.

It has space group Cmmm (No. 65), with a = 2.830 Å, b = 4.901 Å, c = 9.197 Å, α = 90.00°, β = 90.00° and γ = 90.00°. Symmetry generates all atoms from Tc at (0.000, 0.000, 0.231), Ag at (0.000, 0.500, 0.500) and Cl at (0.000, 0.500, 0.000).

For the uncorrected formation energy, the calculation gives 3.075 eV/f.u. The value obtained for the offset from the most stable computed form is 0.6370 eV per atom. Its total energy is -5.589 eV/atom.

No. 2
Density functional theory data (GGA-PBE) for Tc2Ag5Cl12 after structural relaxation.

It has space group C2/m (No. 12), with a = 15.638 Å, b = 7.034 Å, c = 9.039 Å, α = 90.00°, β = 110.78° and γ = 90.00°. Symmetry generates all atoms from Tc at (0.000, 0.237, 0.000), Ag at (0.000, 0.500, 0.500), Ag at (0.199, 0.000, 0.811), Ag at (0.236, 0.000, 0.462), Cl at (0.030, 0.000, 0.205), Cl at (0.030, 0.500, 0.189), Cl at (0.145, 0.254, 0.576) and Cl at (0.154, 0.241, 0.027).

For the uncorrected formation energy, the calculation gives -9.413 eV/f.u. Its total energy is -3.503 eV/atom.

No. 3
Density functional theory data (GGA-PBE) for TcAgCl4 after structural relaxation.

It has space group P-1 (No. 2), with a = 7.135 Å, b = 7.288 Å, c = 7.730 Å, α = 65.91°, β = 62.96° and γ = 74.21°. Symmetry generates all atoms from Tc at (0.155, 0.484, 0.001), Ag at (0.276, 0.314, 0.495), Cl at (0.109, 0.667, 0.210), Cl at (0.155, 0.194, 0.283), Cl at (0.316, 0.764, 0.722) and Cl at (0.368, 0.285, 0.796).

For the uncorrected formation energy, the calculation gives -3.598 eV/f.u. The value obtained for the offset from the most stable computed form is 0.0000 eV per atom. Its total energy is -4.034 eV/atom.

No. 4
Density functional theory data (GGA-PBE) for TcAgCl4 after structural relaxation.

It has space group F-43m (No. 216), with a = 8.290 Å, b = 8.290 Å, c = 8.290 Å, α = 90.00°, β = 90.00° and γ = 90.00°. Symmetry generates all atoms from Tc at (0.000, 0.000, 0.000), Ag at (0.250, 0.250, 0.750) and Cl at (0.125, 0.125, 0.375).

For the uncorrected formation energy, the calculation gives 5.884 eV/f.u. The value obtained for the offset from the most stable computed form is 1.5803 eV per atom. Its total energy is -2.453 eV/atom.

No. 5
Density functional theory data (GGA-PBE) for Tc2AgCl after structural relaxation.

It has space group P2/m (No. 10), with a = 3.099 Å, b = 4.832 Å, c = 4.708 Å, α = 90.00°, β = 95.83° and γ = 90.00°. Symmetry generates all atoms from Tc at (0.169, 0.000, 0.292), Ag at (0.500, 0.500, 0.500) and Cl at (0.000, 0.500, 0.000).

For the uncorrected formation energy, the calculation gives 3.311 eV/f.u. The value obtained for the offset from the most stable computed form is 0.6959 eV per atom. Its total energy is -5.530 eV/atom.

No. 6
Density functional theory data (GGA-PBE) for TcAg2Cl2 after structural relaxation.

It has space group I4/mmm (No. 139), with a = 3.653 Å, b = 3.653 Å, c = 19.270 Å, α = 90.00°, β = 90.00° and γ = 90.00°. Symmetry generates all atoms from Tc at (0.000, 0.000, 0.000), Ag at (0.000, 0.500, 0.250) and Cl at (0.000, 0.000, 0.420).

For the uncorrected formation energy, the calculation gives 2.568 eV/f.u. The value obtained for the offset from the most stable computed form is 0.1220 eV per atom. Its total energy is -3.439 eV/atom.

No. 7
Density functional theory data (GGA-PBE) for Tl2TcAgCl6 after structural relaxation.

It has space group R-3m (No. 166, hexagonal axes), with a = 7.1170 Å, b = 7.1170 Å, c = 38.5454 Å, α = 90.00°, β = 90.00° and γ = 120.00°. Symmetry generates all atoms from Tl at (0.0000, 0.0000, 0.1378), Tl at (0.0000, 0.0000, 0.3055), Tc at (0.0000, 0.0000, 0.0000), Tc at (0.0000, 0.0000, 0.5000), Ag at (0.0000, 0.0000, 0.4133), Cl at (0.0121, 0.5061, 0.7025) and Cl at (0.0138, 0.5069, 0.1303).

For the uncorrected formation energy, the calculation gives -7.229 eV/f.u. Its total energy is -3.626 eV/atom.

No. 8
Density functional theory data (GGA-PBE) for TlTcAg2Cl8 after structural relaxation.

It has space group P-1 (No. 2), with a = 6.548 Å, b = 6.755 Å, c = 8.287 Å, α = 72.83°, β = 88.61° and γ = 80.40°. Symmetry generates all atoms from Tl at (0.000, 0.000, 0.000), Tc at (0.000, 0.000, 0.500), Ag at (0.488, 0.321, 0.208), Cl at (0.099, 0.231, 0.243), Cl at (0.140, 0.184, 0.658), Cl at (0.322, 0.775, 0.513) and Cl at (0.389, 0.731, 0.072).

For the uncorrected formation energy, the calculation gives -7.518 eV/f.u. Its total energy is -3.394 eV/atom.

No. 9
Density functional theory data (GGA-PBE) for TlTcAgCl6 after structural relaxation.

It has space group P-31c (No. 163), with a = 6.9047 Å, b = 6.9047 Å, c = 13.1965 Å, α = 90.00°, β = 90.00° and γ = 120.00°. Symmetry generates all atoms from Tl at (0.0000, 0.0000, 0.0000), Tc at (0.3333, 0.6667, 0.2500), Ag at (0.3333, 0.6667, 0.7500) and Cl at (0.0439, 0.3948, 0.1458).

For the uncorrected formation energy, the calculation gives -6.613 eV/f.u. Its total energy is -3.697 eV/atom.

No. 10
Density functional theory data (GGA-PBE) for YTc2AgCl after structural relaxation.

It has space group P4/mmm (No. 123), with a = 5.027 Å, b = 5.027 Å, c = 5.555 Å, α = 90.00°, β = 90.00° and γ = 90.00°. Symmetry generates all atoms from Y at (0.000, 0.000, 0.000), Tc at (0.000, 0.500, 0.500), Ag at (0.000, 0.000, 0.500) and Cl at (0.500, 0.500, 0.000).

For the uncorrected formation energy, the calculation gives 7.083 eV/f.u. Its total energy is -4.962 eV/atom.

No. 11
Density functional theory data (GGA-PBE) for Zr2TcAgCl after structural relaxation.

It has space group P4/mmm (No. 123), with a = 4.752 Å, b = 4.752 Å, c = 4.562 Å, α = 90.00°, β = 90.00° and γ = 90.00°. Symmetry generates all atoms from Zr at (0.000, 0.500, 0.000), Tc at (0.000, 0.000, 0.500), Ag at (0.500, 0.500, 0.500) and Cl at (0.500, 0.500, 0.000).

For the uncorrected formation energy, the calculation gives 3.067 eV/f.u. Its total energy is -5.819 eV/atom.

No. 12
Density functional theory data (GGA-PBE) for AgTe6Cl2 after structural relaxation.

It has space group C2/c (No. 15), with a = 15.008 Å, b = 10.808 Å, c = 9.009 Å, α = 90.00°, β = 114.24° and γ = 90.00°. Symmetry generates all atoms from Ag at (0.000, 0.083, 0.250), Te at (0.015, 0.259, 0.032), Te at (0.134, 0.094, 0.954), Te at (0.166, 0.276, 0.743) and Cl at (0.194, 0.433, 0.534).

For the uncorrected formation energy, the calculation gives -1.072 eV/f.u. Its total energy is -2.941 eV/atom.

No. 13
Density functional theory data (GGA-PBE) for AgTe3Cl after structural relaxation.

It has space group P2_1 (No. 4), with a = 7.328 Å, b = 5.689 Å, c = 7.563 Å, α = 90.00°, β = 90.07° and γ = 90.00°. Symmetry generates all atoms from Ag at (0.250, 0.000, 0.010), Te at (0.002, 0.765, 0.779), Te at (0.250, 0.623, 0.282), Te at (0.497, 0.765, 0.779) and Cl at (0.250, 0.348, 0.759).

For the uncorrected formation energy, the calculation gives -0.499 eV/f.u. Its total energy is -2.924 eV/atom.

No. 14
Density functional theory data (GGA-PBE) for Ag3Te2Cl after structural relaxation.

It has space group P-1 (No. 2), with a = 6.495 Å, b = 6.711 Å, c = 8.701 Å, α = 112.24°, β = 109.05° and γ = 91.59°. Symmetry generates all atoms from Ag at (0.019, 0.184, 0.282), Ag at (0.353, 0.586, 0.091), Ag at (0.412, 0.876, 0.670), Te at (0.176, 0.825, 0.337), Te at (0.195, 0.469, 0.720) and Cl at (0.287, 0.164, 0.089).

For the uncorrected formation energy, the calculation gives -0.873 eV/f.u. Its total energy is -2.926 eV/atom.

No. 15
Density functional theory data (GGA-PBE) for Ag3Te2Cl2 after structural relaxation.

It has space group C2/m (No. 12), with a = 15.395 Å, b = 3.973 Å, c = 6.861 Å, α = 90.00°, β = 115.65° and γ = 90.00°. Symmetry generates all atoms from Ag at (0.000, 0.000, 0.000), Ag at (0.195, 0.500, 0.658), Te at (0.074, 0.000, 0.700) and Cl at (0.167, 0.500, 0.238).

For the uncorrected formation energy, the calculation gives -1.707 eV/f.u. Its total energy is -2.891 eV/atom.

No. 16
Density functional theory data (GGA-PBE) for AgTeCl4 after structural relaxation.

It has space group I-4 (No. 82), with a = 7.721 Å, b = 7.721 Å, c = 7.086 Å, α = 90.00°, β = 90.00° and γ = 90.00°. Symmetry generates all atoms from Ag at (0.000, 0.000, 0.000), Te at (0.000, 0.500, 0.750) and Cl at (0.151, 0.793, 0.761).

For the uncorrected formation energy, the calculation gives -2.585 eV/f.u. The value obtained for the offset from the most stable computed form is 0.0165 eV per atom. Its total energy is -2.661 eV/atom.

No. 17
Density functional theory data (GGA-PBE) for Ag3TeCl after structural relaxation.

It has space group P2_1/c (No. 14), with a = 9.237 Å, b = 6.323 Å, c = 9.599 Å, α = 90.00°, β = 111.27° and γ = 90.00°. Symmetry generates all atoms from Ag at (0.002, 0.120, 0.122), Ag at (0.125, 0.558, 0.136), Ag at (0.318, 0.550, 0.612), Te at (0.177, 0.231, 0.421) and Cl at (0.402, 0.679, 0.312).

For the uncorrected formation energy, the calculation gives -0.987 eV/f.u. The value obtained for the offset from the most stable computed form is 0.0000 eV per atom. Its total energy is -2.906 eV/atom.

No. 18
Density functional theory data (GGA-PBE) for AgTeCl3 after structural relaxation.

It has space group Pm-3m (No. 221), with a = 5.137 Å, b = 5.137 Å, c = 5.137 Å, α = 90.00°, β = 90.00° and γ = 90.00°. Symmetry generates all atoms from Ag at (0.000, 0.000, 0.000), Te at (0.500, 0.500, 0.500) and Cl at (0.000, 0.000, 0.500).

For the uncorrected formation energy, the calculation gives 0.324 eV/f.u. The value obtained for the offset from the most stable computed form is 0.5086 eV per atom. Its total energy is -2.242 eV/atom.

No. 19
Density functional theory data (GGA-PBE) for Ag3TeCl2 after structural relaxation.

It has space group Immm (No. 71), with a = 3.686 Å, b = 5.825 Å, c = 12.934 Å, α = 90.00°, β = 90.00° and γ = 90.00°. Symmetry generates all atoms from Ag at (0.000, 0.000, 0.000), Ag at (0.000, 0.000, 0.332), Te at (0.000, 0.500, 0.000) and Cl at (0.000, 0.500, 0.320).

For the uncorrected formation energy, the calculation gives -1.627 eV/f.u. The value obtained for the offset from the most stable computed form is 0.0093 eV per atom. Its total energy is -2.836 eV/atom.

No. 20
Density functional theory data (GGA-PBE) for Ag3TeCl3 after structural relaxation.

It has space group P2_1/c (No. 14), with a = 7.520 Å, b = 13.163 Å, c = 8.324 Å, α = 90.00°, β = 122.34° and γ = 90.00°. Symmetry generates all atoms from Ag at (0.214, 0.148, 0.021), Ag at (0.249, 0.749, 0.571), Ag at (0.261, 0.036, 0.464), Te at (0.074, 0.553, 0.396), Cl at (0.153, 0.195, 0.677), Cl at (0.382, 0.568, 0.272) and Cl at (0.427, 0.667, 0.906).

For the uncorrected formation energy, the calculation gives -2.268 eV/f.u. Its total energy is -2.786 eV/atom.

Sequential total magnetization output: 0.9 4.9 0.0 6.4 0.0 4.7 2.0 2.2 2.9 6.3 0.8 0.0 0.0 0.0 0.0 1.0 0.0 2.9 0.0 0.0 μB per formula unit
Sequential theoretical density output: 8.83 4.15 3.55 4.05 8.03 4.97 4.88 3.86 3.80 5.07 6.83 4.71 5.54 6.24 5.70 2.97 6.19 4.19 6.24 5.32 g cm⁻³